Below is a relaxed PmAl2Ag crystal, with properties calculated at the PBE level.

a = 4.8892 Å, b = 4.8892 Å, c = 4.8892 Å
α = 60.00°, β = 60.00°, γ = 60.00°
With the nearest neighbours (Å) after each atom.
Element x y z (fractional)
Pm1 0.0000 0.0000 0.0000  8 Al 2.99
Al1 0.2500 0.2500 0.2500  4 Pm 2.99, 4 Ag 2.99
Al2 0.7500 0.7500 0.7500  4 Pm 2.99, 4 Ag 2.99
Ag1 0.5000 0.5000 0.5000  8 Al 2.99

Properties
As for the relative energy among the computed polymorphs: 211 meV per atom. The symmetry is Fm-3m (225). The calculation puts the formation energy at -0.185 eV/atom.



Below is a relaxed Hf2ReTe crystal, with properties calculated at the PBE level.

a = 10.2181 Å, b = 10.2181 Å, c = 10.2181 Å
α = 17.54°, β = 17.54°, γ = 17.54°
With the nearest neighbours (Å) after each atom.
Element x y z (fractional)
Hf1 0.0838 0.0838 0.0838  1 Re 2.53
Hf2 0.9162 0.9162 0.9162  1 Re 2.53
Re1 0.0000 0.0000 0.0000  2 Hf 2.53
Te1 0.5000 0.5000 0.5000  6 Hf 3.08, 6 Te 3.12

Properties
The symmetry is R-3m (166). The uncorrected energy comes out at -8.32 eV per atom.



Below is a relaxed K3SbAu crystal, with properties calculated at the PBE level.

a = 7.0465 Å, b = 9.6935 Å, c = 11.2076 Å
α = 90.00°, β = 90.10°, γ = 90.00°
With the nearest neighbours (Å) after each atom.
Element x y z (fractional)
K1 0.2246 0.2012 0.3751  2 Au 3.54-3.57, 2 Sb 3.59-3.62, 3 K 3.71-3.85
K2 0.2246 0.2988 0.8751  2 Au 3.54-3.57, 2 Sb 3.59-3.62, 3 K 3.71-3.85
K3 0.2390 0.5397 0.6067  2 Au 3.52-3.73, 3 Sb 3.60-3.80, 1 K 3.81
K4 0.2390 0.9603 0.1067  2 Au 3.52-3.73, 3 Sb 3.60-3.80, 1 K 3.81
K5 0.2556 0.5454 0.1436  2 Au 3.40-3.64, 3 Sb 3.58-3.70, 1 K 3.71
K6 0.2556 0.9546 0.6436  2 Au 3.40-3.64, 3 Sb 3.58-3.70, 1 K 3.71
K7 0.7444 0.0454 0.3564  2 Au 3.40-3.64, 3 Sb 3.58-3.70, 1 K 3.71
K8 0.7444 0.4546 0.8564  2 Au 3.40-3.64, 3 Sb 3.58-3.70, 1 K 3.71
K9 0.7610 0.0397 0.8933  2 Au 3.52-3.73, 3 Sb 3.60-3.80, 1 K 3.81
K10 0.7610 0.4603 0.3933  2 Au 3.52-3.73, 3 Sb 3.60-3.80, 1 K 3.81
K11 0.7754 0.7012 0.1249  2 Au 3.54-3.57, 2 Sb 3.59-3.62, 3 K 3.71-3.85
K12 0.7754 0.7988 0.6249  2 Au 3.54-3.57, 2 Sb 3.59-3.62, 3 K 3.71-3.85
Sb1 0.0886 0.7292 0.8741  1 Au 2.71
Sb2 0.0886 0.7708 0.3741  1 Au 2.71
Sb3 0.9114 0.2292 0.6259  1 Au 2.71
Sb4 0.9114 0.2708 0.1259  1 Au 2.71
Au1 0.4728 0.7434 0.8751  1 Sb 2.71
Au2 0.4728 0.7566 0.3751  1 Sb 2.71
Au3 0.5272 0.2434 0.6249  1 Sb 2.71
Au4 0.5272 0.2566 0.1249  1 Sb 2.71

Properties
As for the relative energy among the computed polymorphs: 0 meV per atom. The symmetry is P2_1/c (14).